# AsPCl, relaxed, DFT GGA-PBE
data_AsPCl
_chemical_formula_sum 'As1 P1 Cl1'
_space_group_name_H-M_alt 'P 3 m 1'
_space_group_IT_number 156
_cell_length_a 3.5758
_cell_length_b 3.5758
_cell_length_c 5.6656
_cell_angle_alpha 90.00
_cell_angle_beta 90.00
_cell_angle_gamma 120.00
loop_
_space_group_symop_operation_xyz
'x,y,z'
'-y,x-y,z'
'-x+y,-x,z'
'-y,-x,z'
'-x+y,y,z'
'x,x-y,z'
loop_
_atom_site_label
_atom_site_fract_x
_atom_site_fract_y
_atom_site_fract_z
As1 0.0000 0.0000 0.0000
P1 0.6667 0.3333 0.7787
Cl1 0.3333 0.6667 0.3625
# E above lowest polymorph = 203 meV per atom
# V = 20.91 Å³/atom
# Formation energy (no corrections) = -0.028 eV per atom
# Total DFT energy (no corrections) = -11.99 eV/cell
# Total moment = 0.00 Bohr magnetons per cell

---

# AsPCl2, relaxed, DFT GGA-PBE
data_AsPCl2
_chemical_formula_sum 'As4 P4 Cl8'
_space_group_name_H-M_alt 'F -4 3 m'
_space_group_IT_number 216
_space_group_name_Hall 'F -4 2 3'
_cell_length_a 6.614
_cell_length_b 6.614
_cell_length_c 6.614
_cell_angle_alpha 90.00
_cell_angle_beta 90.00
_cell_angle_gamma 90.00
loop_
_atom_site_label
_atom_site_fract_x
_atom_site_fract_y
_atom_site_fract_z
As1 0.000 0.000 0.000
P1 0.250 0.250 0.250
Cl1 0.000 0.000 0.500
Cl2 0.250 0.250 0.750
# E above lowest polymorph = 846 meV per atom
# V = 18.08 Å³/atom
# Formation energy (no corrections) = 0.476 eV per atom
# Total DFT energy (no corrections) = -47.40 eV/cell
# Total moment = 0.00 Bohr magnetons per cell

---

# AsPCl2, relaxed, DFT GGA-PBE
data_AsPCl2
_chemical_formula_sum 'As2 P2 Cl4'
_space_group_name_H-M_alt 'C 1 m 1'
_space_group_IT_number 8
_cell_length_a 11.535
_cell_length_b 3.558
_cell_length_c 6.246
_cell_angle_alpha 90.00
_cell_angle_beta 94.21
_cell_angle_gamma 90.00
loop_
_space_group_symop_operation_xyz
'x,y,z'
'x,-y,z'
'x+1/2,y+1/2,z'
'x+1/2,-y+1/2,z'
loop_
_atom_site_label
_atom_site_fract_x
_atom_site_fract_y
_atom_site_fract_z
As1 0.000 0.000 0.000
P1 0.438 0.000 0.752
Cl1 0.090 0.500 0.591
Cl2 0.335 0.500 0.162
# E above lowest polymorph = 9 meV per atom
# V = 31.96 Å³/atom
# Formation energy (no corrections) = -0.362 eV per atom
# Total DFT energy (no corrections) = -30.40 eV/cell
# Total moment = 0.00 Bohr magnetons per cell

---

# AsPCl, relaxed, DFT GGA-PBE
data_AsPCl
_chemical_formula_sum 'As4 P4 Cl4'
_space_group_name_H-M_alt 'F -4 3 m'
_space_group_IT_number 216
_space_group_name_Hall 'F -4 2 3'
_cell_length_a 6.342
_cell_length_b 6.342
_cell_length_c 6.342
_cell_angle_alpha 90.00
_cell_angle_beta 90.00
_cell_angle_gamma 90.00
loop_
_atom_site_label
_atom_site_fract_x
_atom_site_fract_y
_atom_site_fract_z
As1 0.000 0.000 0.000
P1 0.250 0.250 0.250
Cl1 0.000 0.000 0.500
# E above lowest polymorph = 675 meV per atom
# V = 21.26 Å³/atom
# Formation energy (no corrections) = 0.445 eV per atom
# Total DFT energy (no corrections) = -42.29 eV/cell
# Total moment = 0.00 Bohr magnetons per cell

---

# AsPCl2, relaxed, DFT GGA-PBE
data_AsPCl2
_chemical_formula_sum 'As4 P4 Cl8'
_space_group_name_H-M_alt 'F m -3 m'
_space_group_IT_number 225
_space_group_name_Hall '-F 4 2 3'
_cell_length_a 6.738
_cell_length_b 6.738
_cell_length_c 6.738
_cell_angle_alpha 90.00
_cell_angle_beta 90.00
_cell_angle_gamma 90.00
loop_
_atom_site_label
_atom_site_fract_x
_atom_site_fract_y
_atom_site_fract_z
As1 0.000 0.000 0.000
P1 0.000 0.000 0.500
Cl1 0.250 0.250 0.250
# E above lowest polymorph = 1177 meV per atom
# V = 19.12 Å³/atom
# Formation energy (no corrections) = 0.806 eV per atom
# Total DFT energy (no corrections) = -42.11 eV/cell
# Total moment = 0.00 Bohr magnetons per cell

---

# AsP4Cl, relaxed, DFT GGA-PBE
data_AsP4Cl
_chemical_formula_sum 'As4 P16 Cl4'
_space_group_name_H-M_alt 'F -4 3 m'
_space_group_IT_number 216
_space_group_name_Hall 'F -4 2 3'
_cell_length_a 7.906
_cell_length_b 7.906
_cell_length_c 7.906
_cell_angle_alpha 90.00
_cell_angle_beta 90.00
_cell_angle_gamma 90.00
loop_
_atom_site_label
_atom_site_fract_x
_atom_site_fract_y
_atom_site_fract_z
As1 0.000 0.000 0.000
P1 0.100 0.100 0.400
Cl1 0.250 0.250 0.750
# V = 20.59 Å³/atom
# Formation energy (no corrections) = 0.503 eV per atom
# Total DFT energy (no corrections) = -100.46 eV/cell
# Total moment = 0.68 Bohr magnetons per cell

---

# AsPCl, relaxed, DFT GGA-PBE
data_AsPCl
_chemical_formula_sum 'As2 P2 Cl2'
_space_group_name_H-M_alt 'I 4 m m'
_space_group_IT_number 107
_space_group_name_Hall 'I 4 -2'
_cell_length_a 3.425
_cell_length_b 3.425
_cell_length_c 13.228
_cell_angle_alpha 90.00
_cell_angle_beta 90.00
_cell_angle_gamma 90.00
loop_
_atom_site_label
_atom_site_fract_x
_atom_site_fract_y
_atom_site_fract_z
As1 0.000 0.000 0.000
P1 0.000 0.000 0.440
Cl1 0.000 0.000 0.285
# E above lowest polymorph = 196 meV per atom
# V = 25.86 Å³/atom
# Formation energy (no corrections) = -0.035 eV per atom
# Total DFT energy (no corrections) = -24.02 eV/cell
# Total moment = 0.00 Bohr magnetons per cell

---

# AsPCl2, relaxed, DFT GGA-PBE
data_AsPCl2
_chemical_formula_sum 'As2 P2 Cl4'
_space_group_name_H-M_alt 'C m m m'
_space_group_IT_number 65
_space_group_name_Hall '-C 2 2'
_cell_length_a 6.001
_cell_length_b 8.430
_cell_length_c 2.985
_cell_angle_alpha 90.00
_cell_angle_beta 90.00
_cell_angle_gamma 90.00
loop_
_atom_site_label
_atom_site_fract_x
_atom_site_fract_y
_atom_site_fract_z
As1 0.000 0.000 0.000
P1 0.000 0.500 0.000
Cl1 0.250 0.250 0.500
# E above lowest polymorph = 1084 meV per atom
# V = 18.88 Å³/atom
# Formation energy (no corrections) = 0.713 eV per atom
# Total DFT energy (no corrections) = -21.80 eV/cell
# Total moment = 0.00 Bohr magnetons per cell

---

# AsP3Cl, relaxed, DFT GGA-PBE
data_AsP3Cl
_chemical_formula_sum 'As1 P3 Cl1'
_space_group_name_H-M_alt 'P m -3 m'
_space_group_IT_number 221
_space_group_name_Hall '-P 4 2 3'
_cell_length_a 4.600
_cell_length_b 4.600
_cell_length_c 4.600
_cell_angle_alpha 90.00
_cell_angle_beta 90.00
_cell_angle_gamma 90.00
loop_
_atom_site_label
_atom_site_fract_x
_atom_site_fract_y
_atom_site_fract_z
As1 0.000 0.000 0.000
P1 0.000 0.500 0.500
Cl1 0.500 0.500 0.500
# E above lowest polymorph = 324 meV per atom
# V = 19.47 Å³/atom
# Formation energy (no corrections) = 1.452 eV per atom
# Total DFT energy (no corrections) = -15.47 eV/cell
# Total moment = 0.00 Bohr magnetons per cell

---

# AsPCl2, relaxed, DFT GGA-PBE
data_AsPCl2
_chemical_formula_sum 'As3 P3 Cl6'
_space_group_name_H-M_alt 'R -3 m'
_space_group_IT_number 166
_space_group_name_Hall '-R 3 2"'
_cell_length_a 3.1180
_cell_length_b 3.1180
_cell_length_c 26.7886
_cell_angle_alpha 90.00
_cell_angle_beta 90.00
_cell_angle_gamma 120.00
loop_
_atom_site_label
_atom_site_fract_x
_atom_site_fract_y
_atom_site_fract_z
As1 0.0000 0.0000 0.0000
P1 0.0000 0.0000 0.5000
Cl1 0.0000 0.0000 0.2482
# E above lowest polymorph = 960 meV per atom
# V = 18.80 Å³/atom
# Formation energy (no corrections) = 0.589 eV per atom
# Total DFT energy (no corrections) = -34.18 eV/cell
# Total moment = 0.00 Bohr magnetons per cell

---

# AsPCl, relaxed, DFT GGA-PBE
data_AsPCl
_chemical_formula_sum 'As1 P1 Cl1'
_space_group_name_H-M_alt 'P -6 m 2'
_space_group_IT_number 187
_space_group_name_Hall 'P -6 2'
_cell_length_a 4.6063
_cell_length_b 4.6063
_cell_length_c 2.9176
_cell_angle_alpha 90.00
_cell_angle_beta 90.00
_cell_angle_gamma 120.00
loop_
_atom_site_label
_atom_site_fract_x
_atom_site_fract_y
_atom_site_fract_z
As1 0.0000 0.0000 0.0000
P1 0.6667 0.3333 0.0000
Cl1 0.3333 0.6667 0.5000
# E above lowest polymorph = 634 meV per atom
# V = 17.87 Å³/atom
# Formation energy (no corrections) = 0.404 eV per atom
# Total DFT energy (no corrections) = -10.70 eV/cell
# Total moment = 0.00 Bohr magnetons per cell

---

# As2PCl, relaxed, DFT GGA-PBE
data_As2PCl
_chemical_formula_sum 'As2 P1 Cl1'
_space_group_name_H-M_alt 'P 4/m m m'
_space_group_IT_number 123
_space_group_name_Hall '-P 4 2'
_cell_length_a 4.890
_cell_length_b 4.890
_cell_length_c 3.085
_cell_angle_alpha 90.00
_cell_angle_beta 90.00
_cell_angle_gamma 90.00
loop_
_atom_site_label
_atom_site_fract_x
_atom_site_fract_y
_atom_site_fract_z
As1 0.000 0.500 0.000
P1 0.000 0.000 0.500
Cl1 0.500 0.500 0.500
# E above lowest polymorph = 550 meV per atom
# V = 18.44 Å³/atom
# Formation energy (no corrections) = 0.597 eV per atom
# Total DFT energy (no corrections) = -14.17 eV/cell
# Total moment = 0.00 Bohr magnetons per cell

---

- What is the total DFT energy (no corrections) in the first record?
  -11.99 eV/cell